Record 1
Below is LiGe3F at its PBEsol-relaxed geometry, with properties calculated at the meta-GGA SCAN level.

a = 4.5285 Å, b = 4.5285 Å, c = 4.5285 Å
α = 90.00°, β = 90.00°, γ = 90.00°
Fractional coordinates of all 5 atoms:
Li  0.5000  0.5000  0.5000
Ge  0.5000  0.0000  0.0000
F  0.0000  0.0000  0.0000
Ge  0.0000  0.5000  0.0000
Ge  0.0000  0.0000  0.5000

* formation energy (no corrections): 0.00 eV per atom
* total magnetic moment: 0.00 Bohr magnetons per cell

***

Record 2
Below is LiGeN2F at its PBEsol-relaxed geometry, with properties calculated at the meta-GGA SCAN level.

a = 3.6711 Å, b = 3.6711 Å, c = 4.1602 Å
α = 90.00°, β = 90.00°, γ = 90.00°
Each line ends with the local moment (μB).
Fractional coordinates of all 5 atoms:
N  0.0000  0.5000  0.0000  0.49
N  0.5000  0.0000  0.0000  0.49
Ge  0.0000  0.0000  0.0000  -0.04
Li  0.5000  0.5000  0.5000  0.00
F  0.0000  0.0000  0.5000  0.00

* formation energy (no corrections): -0.11 eV per atom
* total magnetic moment: 1.29 Bohr magnetons per cell

***

One value per record, in order, for total DFT energy (no corrections): -63.181; -44.145 eV for the cell shown.